Record 1
Material: Dy3Cu3Sb4
Method: DFT, PBEsol
State: optimized geometry

uncorrected formation energy: -0.772 eV per atom
E: -0.396 Ry per atom

Cell: 8.1650 8.1650 8.1650 Å, 109.47 109.47 109.47°
Element x y z (fractional)
Dy1 0.1250 0.7500 0.8750
Dy2 0.2500 0.6250 0.3750
Dy3 0.3750 0.2500 0.6250
Dy4 0.6250 0.3750 0.2500
Dy5 0.7500 0.8750 0.1250
Dy6 0.8750 0.1250 0.7500
Cu1 0.1250 0.8750 0.2500
Cu2 0.2500 0.1250 0.8750
Cu3 0.3750 0.6250 0.7500
Cu4 0.6250 0.7500 0.3750
Cu5 0.7500 0.3750 0.6250
Cu6 0.8750 0.2500 0.1250
Sb1 0.0000 0.3376 0.5000
Sb2 0.0000 0.8376 0.5000
Sb3 0.1624 0.1624 0.1624
Sb4 0.3376 0.5000 0.0000
Sb5 0.5000 0.0000 0.3376
Sb6 0.5000 0.0000 0.8376
Sb7 0.6624 0.6624 0.6624
Sb8 0.8376 0.5000 0.0000


Record 2
Material: CaNbCu2Pt
Method: DFT, PBEsol
State: optimized geometry

energy of formation: 0.54 eV per atom
E: -0.381 Ry per atom

Cell: 4.7784 4.7784 4.7906 Å, 90.00 90.00 90.00°
Element x y z (fractional)
Ca1 0.0000 0.0000 0.0000
Nb1 0.5000 0.5000 0.0000
Cu1 0.0000 0.5000 0.5000
Cu2 0.5000 0.0000 0.5000
Pt1 0.5000 0.5000 0.5000


Record 3
Material: DySiOs2C
Method: DFT, PBEsol
State: optimized geometry

uncorrected formation energy: -0.537 eV per atom
E: -0.698 Ry per atom

Cell: 5.8462 5.8462 7.0617 Å, 90.00 90.00 141.73°
Element x y z (fractional)
Dy1 0.0480 0.9520 0.7500
Dy2 0.9520 0.0480 0.2500
Si1 0.2310 0.7690 0.2500
Si2 0.7690 0.2310 0.7500
Os1 0.3345 0.6655 0.5585
Os2 0.3345 0.6655 0.9415
Os3 0.6655 0.3345 0.0585
Os4 0.6655 0.3345 0.4415
C1 0.5000 0.5000 0.0000
C2 0.5000 0.5000 0.5000


Record 4
Material: HfAs2RhSe
Method: DFT, PBEsol
State: optimized geometry

uncorrected formation energy: 0.338 eV per atom
E: -0.456 Ry per atom

Cell: 4.6257 4.6257 4.8930 Å, 90.00 90.00 90.00°
Element x y z (fractional)
Hf1 0.0000 0.0000 0.0000
As1 0.0000 0.5000 0.5000
As2 0.5000 0.0000 0.5000
Rh1 0.5000 0.5000 0.5000
Se1 0.5000 0.5000 0.0000


Record 5
Material: Li2TeAu
Method: DFT, PBEsol
State: optimized geometry

uncorrected formation energy: -0.501 eV per atom
polymorph energy (0 for the lowest one): 91 meV/atom
E: -0.246 Ry per atom

Cell: 3.2246 3.2246 7.0301 Å, 90.00 90.00 90.00°
Element x y z (fractional)
Li1 0.0000 0.0000 0.2150
Li2 0.0000 0.0000 0.7850
Te1 0.5000 0.5000 0.5000
Au1 0.5000 0.5000 0.0000


Record 6
Material: SrBi2Se2
Method: DFT, PBEsol
State: optimized geometry

uncorrected formation energy: -0.614 eV per atom
polymorph energy (0 for the lowest one): 0 meV/atom
E: -0.311 Ry per atom

Cell: 8.1846 8.1846 4.3175 Å, 90.00 90.00 90.00°
Element x y z (fractional)
Sr1 0.0000 0.0000 0.0000
Sr2 0.5000 0.5000 0.0000
Bi1 0.1838 0.3162 0.5000
Bi2 0.3162 0.8162 0.5000
Bi3 0.6838 0.1838 0.5000
Bi4 0.8162 0.6838 0.5000
Se1 0.1585 0.6585 0.0000
Se2 0.3415 0.1585 0.0000
Se3 0.6585 0.8415 0.0000
Se4 0.8415 0.3415 0.0000


> Which formula does entry 6 have?

SrBi2Se2


> What is the formula in the sixth record?

SrBi2Se2


> The highest E belongs to which entry?

Li2TeAu